DFT (PBE) results for LuNpTc2 after structural relaxation.

Properties
- Formation energy from the elements: 23 meV per atom
- V: 75 Å³ per cell
- D(E_F): 2.305 states/eV per atom

The structure in POSCAR format:
```
LuNpTc2
1.0
0.0000 3.3511 3.3511
3.3511 0.0000 3.3511
3.3511 3.3511 0.0000
Lu Np Tc
1 1 2
Cartesian
0.0000 0.0000 0.0000
3.3511 3.3511 3.3511
1.6756 1.6756 1.6756
5.0267 5.0267 5.0267
```